# ZnSn2Sb | Alexandria | PBE | relaxed
# Energy, eV/atom: -3.27
# Uncorrected formation energy, eV per atom: 0.082
# Calculated density, g/cm³: 6.71
data_ZnSn2Sb
_cell_length_a 4.2558
_cell_length_b 4.2558
_cell_length_c 20.1006
_cell_angle_alpha 90.00
_cell_angle_beta 90.00
_cell_angle_gamma 120.00
_space_group_name_H-M_alt 'R -3 m'
_space_group_IT_number 166
_space_group_name_Hall '-R 3 2"'
loop_
_atom_site_label
_atom_site_type_symbol
_atom_site_fract_x
_atom_site_fract_y
_atom_site_fract_z
Zn1 Zn 0.0000 0.0000 0.0000
Sn1 Sn 0.0000 0.0000 0.2595
Sb1 Sb 0.0000 0.0000 0.5000